[1]
Density functional theory data (PBE) for an optimized crystal structure of PmDy2NpP4.

Results
total magnetic moment = 0.45 μB/atom
E_form = -1.402 eV/atom

Cell: 4.017 6.974 6.959 Å, 109.34 90.00 90.00°
Atoms (fractional coordinates):
Pm1 0.500 0.500 0.000
Dy1 0.500 0.000 0.500
Dy2 0.000 0.500 0.500
Np1 0.000 0.000 0.000
P1 0.500 0.243 0.248
P2 0.500 0.757 0.752
P3 0.000 0.241 0.748
P4 0.000 0.759 0.252

***

[2]
Density functional theory data (PBE) for an optimized crystal structure of Ga2Cu2Au3.

Results
total magnetic moment = 0.00 μB/atom
E_form = -0.083 eV/atom
E above lowest polymorph = 13.7 meV per atom

Cell: 2.900 4.256 9.395 Å, 103.09 98.88 90.00°
Atoms (fractional coordinates):
Ga1 0.641 0.141 0.282
Ga2 0.359 0.859 0.718
Cu1 0.567 0.567 0.134
Cu2 0.433 0.433 0.866
Au1 0.000 0.000 0.000
Au2 0.200 0.700 0.399
Au3 0.800 0.300 0.601

***

[3]
Density functional theory data (PBE) for an optimized crystal structure of SrCaFeSe2.

Results
total magnetic moment = 0.75 μB/atom
raw formation energy = 1.7 eV per formula unit

Cell: 5.350 6.394 5.350 Å, 90.00 90.00 90.00°
Atoms (fractional coordinates):
Sr1 0.000 0.500 0.000
Ca1 0.000 0.000 0.000
Fe1 0.500 0.500 0.500
Se1 0.000 0.000 0.500
Se2 0.500 0.000 0.000

***

[4]
Density functional theory data (PBE) for an optimized crystal structure of TiBH2.

Results
total magnetic moment = 0.00 μB/atom
E above lowest polymorph = 41.0 meV per atom

Cell: 3.240 3.240 5.871 Å, 73.98 73.98 90.00°
Atoms (fractional coordinates):
H1 0.508 0.125 0.250
H2 0.242 0.625 0.250
H3 0.375 0.492 0.750
H4 0.875 0.758 0.750
B1 0.500 0.500 0.000
B2 0.250 0.750 0.500
Ti1 0.000 0.000 0.000
Ti2 0.750 0.250 0.500

***

[5]
Density functional theory data (PBE) for an optimized crystal structure of Tc2Os.

Results
total magnetic moment = 0.00 μB/atom
E_form = 1.040 eV/atom
E above lowest polymorph = 1104.4 meV per atom

Cell: 5.967 5.967 5.967 Å, 90.00 90.00 90.00°
Atoms (fractional coordinates):
Os1 0.000 0.000 0.000
Os2 0.500 0.500 0.000
Os3 0.500 0.000 0.500
Os4 0.000 0.500 0.500
Tc1 0.386 0.386 0.386
Tc2 0.614 0.614 0.614
Tc3 0.886 0.114 0.614
Tc4 0.114 0.886 0.386
Tc5 0.614 0.886 0.114
Tc6 0.386 0.114 0.886
Tc7 0.114 0.614 0.886
Tc8 0.886 0.386 0.114

***

[6]
Density functional theory data (PBE) for an optimized crystal structure of SrCaTbBiO6.

Results
total magnetic moment = 0.00 μB/atom
raw formation energy = -22.5 eV per formula unit
E above lowest polymorph = 174.0 meV per atom

Cell: 6.071 6.071 6.071 Å, 60.00 60.00 60.00°
Atoms (fractional coordinates):
Sr1 0.250 0.250 0.250
Ca1 0.750 0.750 0.750
Tb1 0.500 0.500 0.500
Bi1 0.000 0.000 0.000
O1 0.244 0.756 0.244
O2 0.756 0.244 0.756
O3 0.244 0.756 0.756
O4 0.756 0.244 0.244
O5 0.244 0.244 0.756
O6 0.756 0.756 0.244

***

[7]
Density functional theory data (PBE) for an optimized crystal structure of Sr2Si3Au5.

Results
total magnetic moment = 0.00 μB/atom
raw formation energy = -5.0 eV per formula unit
E above lowest polymorph = 0.0 meV per atom

Cell: 6.369 8.845 8.845 Å, 71.58 68.90 68.90°
Atoms (fractional coordinates):
Sr1 0.130 0.622 0.119
Sr2 0.630 0.119 0.622
Sr3 0.870 0.378 0.881
Sr4 0.370 0.881 0.378
Si1 0.378 0.494 0.750
Si2 0.878 0.750 0.494
Si3 0.622 0.506 0.250
Si4 0.122 0.250 0.506
Si5 0.250 0.000 0.000
Si6 0.750 0.000 0.000
Au1 0.391 0.243 0.974
Au2 0.891 0.974 0.243
Au3 0.609 0.757 0.026
Au4 0.109 0.026 0.757
Au5 0.513 0.737 0.737
Au6 0.487 0.263 0.263
Au7 0.750 0.500 0.500
Au8 0.250 0.500 0.500
Au9 0.987 0.263 0.263
Au10 0.013 0.737 0.737

***

[8]
Density functional theory data (PBE) for an optimized crystal structure of TbCeYEr2.

Results
total magnetic moment = 0.35 μB/atom
E_form = 0.315 eV/atom

Cell: 6.902 7.923 5.870 Å, 89.98 90.00 90.00°
Atoms (fractional coordinates):
Tb1 0.164 0.500 0.750
Tb2 0.836 0.500 0.250
Ce1 0.000 0.000 0.000
Ce2 0.000 0.000 0.500
Y1 0.597 0.000 0.250
Y2 0.403 0.000 0.750
Er1 0.687 0.700 0.750
Er2 0.687 0.300 0.750
Er3 0.313 0.700 0.250
Er4 0.313 0.300 0.250

***

[9]
Density functional theory data (PBE) for an optimized crystal structure of CeMgSn2.

Results
total magnetic moment = 0.24 μB/atom
E_form = -0.345 eV/atom

Cell: 3.796 3.796 7.141 Å, 90.00 90.00 90.00°
Atoms (fractional coordinates):
Mg1 0.500 0.500 0.000
Sn1 0.000 0.000 0.783
Sn2 0.000 0.000 0.217
Ce1 0.500 0.500 0.500

***

[10]
Density functional theory data (PBE) for an optimized crystal structure of KSiAsSe.

Results
total magnetic moment = 0.00 μB/atom
raw formation energy = -0.4 eV per formula unit
E above lowest polymorph = 300.9 meV per atom

Cell: 5.369 4.737 5.956 Å, 90.00 115.88 90.00°
Atoms (fractional coordinates):
As1 0.457 0.500 0.247
Si1 0.036 0.500 0.244
K1 0.520 0.000 0.772
Se1 0.950 0.500 0.594

***

[11]
Density functional theory data (PBE) for an optimized crystal structure of KSn2Hg2.

Results
total magnetic moment = 0.00 μB/atom
E_form = -0.146 eV/atom
E above lowest polymorph = 8.6 meV per atom

Cell: 5.130 5.130 6.942 Å, 68.32 68.32 90.00°
Atoms (fractional coordinates):
K1 0.000 0.000 0.000
Hg1 0.750 0.250 0.500
Hg2 0.250 0.750 0.500
Sn1 0.378 0.378 0.243
Sn2 0.622 0.622 0.757

***

[12]
Density functional theory data (PBE) for an optimized crystal structure of PaTi2AlO8.

Results
total magnetic moment = 0.00 μB/atom
raw formation energy = -37.3 eV per formula unit

Cell: 4.719 4.718 6.277 Å, 89.99 89.98 87.60°
Atoms (fractional coordinates):
Pa1 0.000 0.000 0.500
Ti1 0.476 0.476 0.772
Ti2 0.524 0.524 0.228
Al1 0.000 0.000 0.000
O1 0.197 0.801 0.221
O2 0.694 0.695 0.000
O3 0.802 0.198 0.221
O4 0.803 0.199 0.779
O5 0.306 0.305 0.000
O6 0.198 0.802 0.779
O7 0.681 0.681 0.486
O8 0.319 0.319 0.514

***

Question: Which value of total magnetic moment does entry 4 give?
Answer: 0.00 μB/atom

***

Question: Look up the total magnetic moment of the twelfth one.
Answer: 0.00 μB/atom